Entry 1:
ZrBeSbW2: optimized geometry, GGA-PBE.

a b c (Å): 4.947 4.947 4.425
angles (deg): 90.00 90.00 90.00
Atoms (fractional coordinates):
Zr (0.000, 0.000, 0.000)
Be (0.000, 0.000, 0.500)
Sb (0.500, 0.500, 0.500)
W (0.000, 0.500, 0.000)
W (0.500, 0.000, 0.000)

Values from the calculation:
E_form (uncorrected): 2135 meV/atom
Space group: P4/mmm
Spin magnetization: 0.00 μB per atom
D(E_F): 7.01 states/eV per cell

=====

Entry 2:
CaLa2Er: optimized geometry, GGA-PBE.

a b c (Å): 4.170 4.170 8.599
angles (deg): 90.00 90.00 90.00
Atoms (fractional coordinates):
Ca (0.000, 0.000, 0.000)
La (0.500, 0.500, 0.274)
La (0.500, 0.500, 0.726)
Er (0.000, 0.000, 0.500)

Values from the calculation:
Offset from the most stable computed form: 0.18 eV/f.u.
Space group: P4/mmm
Spin magnetization: 0.00 μB per atom
D(E_F): 5.48 states/eV per cell
Energy of formation: 0.08 eV per atom

=====

Entry 3:
Rb2Ba2Bi: optimized geometry, GGA-PBE.

a b c (Å): 9.353 9.353 7.703
angles (deg): 90.00 90.00 90.00
Atoms (fractional coordinates):
Rb (0.172, 0.328, 0.000)
Rb (0.328, 0.828, 0.000)
Rb (0.672, 0.172, 0.000)
Rb (0.828, 0.672, 0.000)
Ba (0.169, 0.669, 0.500)
Ba (0.331, 0.169, 0.500)
Ba (0.669, 0.831, 0.500)
Ba (0.831, 0.331, 0.500)
Bi (0.000, 0.000, 0.500)
Bi (0.500, 0.500, 0.500)

Values from the calculation:
Space group: P4/mbm
Spin magnetization: 0.14 μB per atom
D(E_F): 6.81 states/eV per cell
Energy of formation: -0.20 eV per atom